The following is a PBE-GGA calculation of a geometry-optimized CoAg2 structure, from the Alexandria database.

a b c (Å): 2.7620 14.6593 4.6730
angles (deg): 90.00 90.00 90.00
Closest atoms and distances in Å follow each position.
Space group Cmcm (No. 63)
Unique sites:
Co 0.0000 0.1109 0.2500  2 Co 2.76, 10 Ag 2.78-2.86
Ag 0.0000 0.2239 0.7500  8 Ag 2.76-2.85, 4 Co 2.79-2.86
Ag 0.0000 0.4463 0.2500  6 Ag 2.76-2.85, 6 Co 2.78-2.84

---

The following is a PBE-GGA calculation of a geometry-optimized CoAg structure, from the Alexandria database.

a b c (Å): 4.3493 4.3493 5.1057
angles (deg): 90.00 90.00 120.00
Closest atoms and distances in Å follow each position.
Space group P6_3/mmc (No. 194)
Unique sites:
Co 0.3333 0.6667 0.2500  5 Ag 2.51-2.55
Ag 0.3333 0.6667 0.7500  5 Co 2.51-2.55

---

The following is a PBE-GGA calculation of a geometry-optimized CoAg2 structure, from the Alexandria database.

a b c (Å): 7.5060 7.5060 7.5060
angles (deg): 90.00 90.00 90.00
Closest atoms and distances in Å follow each position.
Space group Fd-3m (No. 227, origin choice 2)
Unique sites:
Co 0.1250 0.1250 0.1250  12 Ag 3.11, 4 Co 3.25
Ag 0.0000 0.0000 0.5000  6 Ag 2.65

---

The following is a PBE-GGA calculation of a geometry-optimized CoAg2 structure, from the Alexandria database.

a b c (Å): 2.7495 3.9784 8.6449
angles (deg): 90.00 90.00 90.00
Closest atoms and distances in Å follow each position.
Space group Immm (No. 71)
Unique sites:
Co 0.0000 0.0000 0.0000  2 Co 2.75, 10 Ag 2.79-2.93
Ag 0.0000 0.0000 0.3386  7 Ag 2.75-2.86, 5 Co 2.79-2.93

---

The following is a PBE-GGA calculation of a geometry-optimized CoAg2 structure, from the Alexandria database.

a b c (Å): 2.7862 2.7862 7.0065
angles (deg): 90.00 90.00 120.00
Closest atoms and distances in Å follow each position.
Space group P-3m1 (No. 164)
Unique sites:
Co 0.0000 0.0000 0.0000  6 Ag 2.76, 6 Co 2.79
Ag 0.3333 0.6667 0.6801  3 Co 2.76, 9 Ag 2.79-2.99

---

The following is a PBE-GGA calculation of a geometry-optimized CoAg structure, from the Alexandria database.

a b c (Å): 2.7107 2.7107 4.5913
angles (deg): 90.00 90.00 120.00
Closest atoms and distances in Å follow each position.
Space group P-6m2 (No. 187)
Unique sites:
Co 0.0000 0.0000 0.0000  6 Co 2.71, 6 Ag 2.78
Ag 0.6667 0.3333 0.5000  6 Ag 2.71, 6 Co 2.78

---

The following is a PBE-GGA calculation of a geometry-optimized Co5Ag structure, from the Alexandria database.

a b c (Å): 6.6925 6.6925 6.6925
angles (deg): 90.00 90.00 90.00
Closest atoms and distances in Å follow each position.
Space group F-43m (No. 216)
Unique sites:
Co 0.0000 0.0000 0.0000  12 Co 2.77, 4 Ag 2.90
Co 0.1253 0.1253 0.3747  6 Co 2.36-2.37
Ag 0.2500 0.2500 0.7500  16 Co 2.78-2.90

---

The following is a PBE-GGA calculation of a geometry-optimized CoAg2 structure, from the Alexandria database.

a b c (Å): 4.6605 14.0701 2.8962
angles (deg): 90.00 90.00 90.00
Closest atoms and distances in Å follow each position.
Space group Cmcm (No. 63)
Unique sites:
Co 0.0000 0.0606 0.2500  2 Co 2.24
Ag 0.0000 0.2251 0.7500  2 Co 2.73, 10 Ag 2.83-3.01
Ag 0.0000 0.4100 0.2500  4 Co 2.77, 8 Ag 2.90-3.01

---

Number 1: DOS at the Fermi energy 4.200 states/eV/f.u., formation enthalpy at 0 K 0.4323 eV/atom. Number 2: DOS at the Fermi energy 4.670 states/eV/f.u., formation enthalpy at 0 K 1.3418 eV/atom. Number 3: DOS at the Fermi energy 3.270 states/eV/f.u., formation enthalpy at 0 K 0.7693 eV/atom. Number 4: DOS at the Fermi energy 4.134 states/eV/f.u., formation enthalpy at 0 K 0.4234 eV/atom. Number 5: DOS at the Fermi energy 3.127 states/eV/f.u., formation enthalpy at 0 K 0.3501 eV/atom. Number 6: DOS at the Fermi energy 2.080 states/eV/f.u., formation enthalpy at 0 K 0.4659 eV/atom. Number 7: DOS at the Fermi energy 6.411 states/eV/f.u., formation enthalpy at 0 K 0.2893 eV/atom. Number 8: DOS at the Fermi energy 2.430 states/eV/f.u., formation enthalpy at 0 K 0.2915 eV/atom.